(1)
Entry from the Alexandria database: BeSn3Bi after structural relaxation (PBE).

Structure (POSCAR):
```
BeSn3Bi
1.0
5.923 0.000 0.000
0.000 5.923 0.000
0.000 0.000 5.923
Be Sn Bi
1 3 1
Cartesian
0.000 0.000 0.000
0.000 2.962 2.962
2.962 0.000 2.962
2.962 2.962 0.000
2.962 2.962 2.962
```

Summary:
symmetry	Pm-3m (221)
formation enthalpy at 0 K	1.3127	eV per atom
distance to the lowest polymorph of the same formula	1059.9	meV/atom
calculated total energy	-2.610	eV per atom

(2)
Entry from the Alexandria database: CuHPd3 after structural relaxation (PBE).

Structure (POSCAR):
```
CuHPd3
1.0
3.592 2.074 2.818
-3.592 2.074 2.818
0.000 -4.148 2.818
Cu H Pd
2 2 6
Cartesian
0.000 0.000 0.000
0.000 0.000 4.226
0.000 0.000 2.113
0.000 0.000 6.339
-2.658 -0.455 3.522
-0.935 -2.529 4.931
1.723 -2.074 3.522
-1.723 2.074 4.931
0.935 2.529 3.522
2.658 0.455 4.931
```

Summary:
symmetry	R-3c (167)
distance to the lowest polymorph of the same formula	126.8	meV/atom
calculated total energy	-4.560	eV per atom

(3)
Entry from the Alexandria database: Sr2Zn2Ru after structural relaxation (PBE).

Structure (POSCAR):
```
Sr2Zn2Ru
1.0
7.006 0.000 0.000
0.000 7.006 0.000
0.000 0.000 4.986
Sr Zn Ru
4 4 2
Cartesian
1.284 2.219 0.000
2.219 5.722 0.000
4.787 1.284 0.000
5.722 4.787 0.000
1.002 4.505 2.493
2.501 1.002 2.493
4.505 6.004 2.493
6.004 2.501 2.493
0.000 0.000 2.493
3.503 3.503 2.493
```

Summary:
symmetry	P4/mbm (127)
formation enthalpy at 0 K	0.1390	eV per atom
calculated total energy	-2.898	eV per atom

(4)
Entry from the Alexandria database: Ba2SrLiSb after structural relaxation (PBE).

Structure (POSCAR):
```
Ba2SrLiSb
1.0
5.963 0.000 0.000
0.000 5.963 0.000
0.000 0.000 5.937
Ba Sr Li Sb
2 1 1 1
Cartesian
0.000 2.981 0.000
2.981 0.000 0.000
0.000 0.000 2.968
0.000 0.000 0.000
2.981 2.981 2.968
```

Summary:
raw formation energy	-0.0332	eV per atom
symmetry	P4/mmm (123)
calculated total energy	-2.346	eV per atom

(5)
Entry from the Alexandria database: CeTmTlGe after structural relaxation (PBE).

Structure (POSCAR):
```
CeTmTlGe
1.0
7.418 0.000 0.000
0.000 7.418 0.000
0.000 0.000 7.418
Ce Tm Tl Ge
4 4 4 4
Cartesian
0.000 0.000 0.000
0.000 3.709 3.709
3.709 0.000 3.709
3.709 3.709 0.000
0.000 0.000 3.709
0.000 3.709 0.000
3.709 0.000 0.000
3.709 3.709 3.709
1.855 1.855 1.855
1.855 5.564 5.564
5.564 1.855 5.564
5.564 5.564 1.855
1.855 1.855 5.564
1.855 5.564 1.855
5.564 1.855 1.855
5.564 5.564 5.564
```

Summary:
symmetry	F-43m (216)
formation enthalpy at 0 K	-0.3824	eV per atom
calculated total energy	-4.730	eV per atom

(6)
Entry from the Alexandria database: AuSeBr3 after structural relaxation (PBE).

Structure (POSCAR):
```
AuSeBr3
1.0
5.320 0.000 0.000
0.000 5.320 0.000
0.000 0.000 5.320
Au Se Br
1 1 3
Cartesian
0.000 0.000 0.000
2.660 2.660 2.660
0.000 2.660 2.660
2.660 0.000 2.660
2.660 2.660 0.000
```

Summary:
raw formation energy	0.3938	eV per atom
symmetry	Pm-3m (221)
distance to the lowest polymorph of the same formula	530.2	meV/atom
calculated total energy	-1.962	eV per atom

(7)
Entry from the Alexandria database: PaTiSi2 after structural relaxation (PBE).

Structure (POSCAR):
```
PaTiSi2
1.0
3.163 0.000 0.000
0.000 3.673 0.000
0.000 0.000 6.074
Pa Ti Si
1 1 2
Cartesian
0.000 0.000 0.000
0.000 0.000 3.037
1.581 1.837 1.809
1.581 1.837 4.264
```

Summary:
raw formation energy	-0.4417	eV per atom
symmetry	Pmmm (47)
distance to the lowest polymorph of the same formula	159.2	meV/atom
calculated total energy	-7.501	eV per atom

(8)
Entry from the Alexandria database: Ta2GaBr after structural relaxation (PBE).

Structure (POSCAR):
```
Ta2GaBr
1.0
6.525 0.000 0.000
0.000 6.525 0.000
0.000 0.000 6.525
Ta Ga Br
8 4 4
Cartesian
1.631 1.631 1.631
1.631 1.631 4.894
1.631 4.894 1.631
1.631 4.894 4.894
4.894 1.631 1.631
4.894 1.631 4.894
4.894 4.894 1.631
4.894 4.894 4.894
0.000 0.000 0.000
0.000 3.263 3.263
3.263 0.000 3.263
3.263 3.263 0.000
0.000 0.000 3.263
0.000 3.263 0.000
3.263 0.000 0.000
3.263 3.263 3.263
```

Summary:
raw formation energy	0.4583	eV per atom
symmetry	Fm-3m (225)
distance to the lowest polymorph of the same formula	0.0	meV/atom
calculated total energy	-6.643	eV per atom

(9)
Entry from the Alexandria database: GdErSnIr after structural relaxation (PBE).

Structure (POSCAR):
```
GdErSnIr
1.0
7.198 0.000 0.000
0.000 7.198 0.000
0.000 0.000 7.198
Gd Er Sn Ir
4 4 4 4
Cartesian
0.000 0.000 0.000
0.000 3.599 3.599
3.599 0.000 3.599
3.599 3.599 0.000
0.000 0.000 3.599
0.000 3.599 0.000
3.599 0.000 0.000
3.599 3.599 3.599
1.799 1.799 1.799
1.799 5.398 5.398
5.398 1.799 5.398
5.398 5.398 1.799
1.799 1.799 5.398
1.799 5.398 1.799
5.398 1.799 1.799
5.398 5.398 5.398
```

Summary:
symmetry	F-43m (216)
formation enthalpy at 0 K	-0.6013	eV per atom
calculated total energy	-8.478	eV per atom

(10)
Entry from the Alexandria database: ZrCSeN2 after structural relaxation (PBE).

Structure (POSCAR):
```
ZrCSeN2
1.0
4.057 0.000 0.000
0.000 4.057 0.000
0.000 0.000 5.709
Zr C Se N
1 1 1 2
Cartesian
0.000 0.000 0.000
2.029 2.029 2.854
0.000 0.000 2.854
0.000 2.029 0.000
2.029 0.000 0.000
```

Summary:
raw formation energy	1.7649	eV per atom
symmetry	P4/mmm (123)
distance to the lowest polymorph of the same formula	364.5	meV/atom
calculated total energy	-5.817	eV per atom

(11)
Entry from the Alexandria database: Pm5TeSe4 after structural relaxation (PBE).

Structure (POSCAR):
```
Pm5TeSe4
1.0
7.080 -2.118 0.000
7.080 2.118 0.000
-5.184 0.000 9.059
Pm Te Se
5 1 4
Cartesian
0.000 0.000 0.000
-1.271 0.000 7.371
2.355 0.000 5.501
6.621 0.000 3.559
10.247 0.000 1.689
-2.592 0.000 4.530
1.363 0.000 2.668
5.189 0.000 0.962
3.787 0.000 8.097
7.614 0.000 6.391
```

Summary:
raw formation energy	-1.7427	eV per atom
symmetry	C2/m (12)
distance to the lowest polymorph of the same formula	0.0	meV/atom
calculated total energy	-5.826	eV per atom

(12)
Entry from the Alexandria database: Cs8PbCl2 after structural relaxation (PBE).

Structure (POSCAR):
```
Cs8PbCl2
1.0
5.451 -9.120 0.000
5.451 9.120 0.000
-1.051 0.000 7.620
Cs Pb Cl
8 1 2
Cartesian
1.684 2.368 4.430
5.451 5.071 0.000
1.684 -2.368 4.430
3.564 0.000 1.154
6.288 0.000 6.466
8.168 2.368 3.190
5.451 -5.071 0.000
8.168 -2.368 3.190
0.000 0.000 0.000
4.926 4.231 3.810
4.926 -4.231 3.810
```

Summary:
raw formation energy	-0.6307	eV per atom
symmetry	C2/m (12)
calculated total energy	-1.924	eV per atom

(13)
Entry from the Alexandria database: PaWS after structural relaxation (PBE).

Structure (POSCAR):
```
PaWS
1.0
3.264 0.000 0.000
-1.627 5.216 0.000
-1.621 -1.831 6.460
Pa W S
2 2 2
Cartesian
0.008 1.245 1.185
0.008 2.139 5.275
-1.622 3.225 2.799
1.638 0.159 3.661
0.008 -0.703 5.259
0.008 4.087 1.201
```

Summary:
raw formation energy	-0.4847	eV per atom
symmetry	P-1 (2)
calculated total energy	-9.344	eV per atom

(14)
Entry from the Alexandria database: Er7Tm3Sc after structural relaxation (PBE).

Structure (POSCAR):
```
Er7Tm3Sc
1.0
-2.809 5.475 5.538
2.809 -5.475 5.538
2.809 5.475 -5.538
Er Tm Sc
7 3 1
Cartesian
0.000 0.000 0.000
2.809 -2.130 3.275
2.809 3.138 0.000
2.809 2.130 3.275
0.000 3.345 2.263
0.000 2.337 5.538
0.000 7.606 2.263
0.000 0.000 3.264
0.000 5.475 0.000
0.000 0.000 7.811
2.809 0.000 0.000
```

Summary:
symmetry	Immm (71)
formation enthalpy at 0 K	0.2738	eV per atom
distance to the lowest polymorph of the same formula	112.1	meV/atom
calculated total energy	-4.425	eV per atom

(15)
Entry from the Alexandria database: DyTm5Ga6 after structural relaxation (PBE).

Structure (POSCAR):
```
DyTm5Ga6
1.0
2.499 -7.493 0.000
2.499 7.493 0.000
0.000 0.000 7.047
Dy Tm Ga
1 5 6
Cartesian
0.000 0.000 0.000
0.000 0.000 3.524
2.499 2.506 0.000
2.499 2.484 3.524
2.499 -2.484 3.524
2.499 -2.506 0.000
2.499 4.981 1.777
2.499 4.981 5.271
2.499 0.000 1.773
2.499 0.000 5.275
2.499 -4.981 1.777
2.499 -4.981 5.271
```

Summary:
symmetry	Cmmm (65)
formation enthalpy at 0 K	-0.5703	eV per atom
calculated total energy	-4.330	eV per atom

(16)
Entry from the Alexandria database: YTm2Ga4 after structural relaxation (PBE).

Structure (POSCAR):
```
YTm2Ga4
1.0
4.107 0.000 0.000
0.000 4.211 0.000
0.000 0.000 18.064
Y Tm Ga
2 4 8
Cartesian
0.000 0.000 0.000
2.053 2.105 9.032
0.000 2.105 5.681
0.000 2.105 12.383
2.053 0.000 3.351
2.053 0.000 14.713
0.000 0.000 7.811
0.000 0.000 10.253
0.000 2.105 2.678
0.000 2.105 15.386
2.053 0.000 6.354
2.053 0.000 11.711
2.053 2.105 1.221
2.053 2.105 16.843
```

Summary:
symmetry	Immm (71)
formation enthalpy at 0 K	-0.6345	eV per atom
calculated total energy	-4.565	eV per atom

(17)
Entry from the Alexandria database: La2HoGe after structural relaxation (PBE).

Structure (POSCAR):
```
La2HoGe
1.0
4.753 0.000 0.000
0.000 4.753 0.000
0.000 0.000 4.934
La Ho Ge
2 1 1
Cartesian
0.000 2.377 0.000
2.377 0.000 0.000
0.000 0.000 2.467
2.377 2.377 2.467
```

Summary:
symmetry	P4/mmm (123)
formation enthalpy at 0 K	-0.3522	eV per atom
distance to the lowest polymorph of the same formula	0.0	meV/atom
calculated total energy	-5.115	eV per atom

(18)
Entry from the Alexandria database: V3CuC after structural relaxation (PBE).

Structure (POSCAR):
```
V3CuC
1.0
4.376 0.000 0.000
0.000 4.376 0.000
0.000 0.000 4.376
V Cu C
3 1 1
Cartesian
0.000 0.000 2.188
0.000 2.188 0.000
2.188 0.000 0.000
0.000 0.000 0.000
2.188 2.188 2.188
```

Summary:
symmetry	Pm-3m (221)
formation enthalpy at 0 K	2.2352	eV per atom
distance to the lowest polymorph of the same formula	2350.7	meV/atom
calculated total energy	-5.900	eV per atom

(19)
Entry from the Alexandria database: TcHBr2 after structural relaxation (PBE).

Structure (POSCAR):
```
TcHBr2
1.0
3.947 0.000 0.000
-1.973 3.418 0.000
0.000 0.000 17.953
Tc H Br
3 3 6
Cartesian
0.000 0.000 0.000
0.000 2.279 11.969
1.973 1.139 5.984
0.000 0.000 8.977
0.000 2.279 2.992
1.973 1.139 14.961
0.000 0.000 7.197
0.000 0.000 10.757
0.000 2.279 1.212
0.000 2.279 4.772
1.973 1.139 13.181
1.973 1.139 16.741
```

Summary:
symmetry	R-3m (166)
distance to the lowest polymorph of the same formula	0.0	meV/atom
calculated total energy	-3.748	eV per atom

(20)
Entry from the Alexandria database: Sm2USiRu6 after structural relaxation (PBE).

Structure (POSCAR):
```
Sm2USiRu6
1.0
0.000 4.647 4.647
4.647 0.000 4.647
4.647 4.647 0.000
Sm U Si Ru
2 1 1 6
Cartesian
2.324 2.324 2.324
6.971 6.971 6.971
0.000 0.000 0.000
4.647 4.647 4.647
4.647 4.647 2.405
4.647 2.405 4.647
6.890 4.647 4.647
2.405 4.647 4.647
4.647 6.890 4.647
4.647 4.647 6.890
```

Summary:
raw formation energy	0.2240	eV per atom
symmetry	Fm-3m (225)
calculated total energy	-7.956	eV per atom

(21)
Entry from the Alexandria database: Al3Zn4Ag2 after structural relaxation (PBE).

Structure (POSCAR):
```
Al3Zn4Ag2
1.0
7.455 -1.480 0.000
7.455 1.480 0.000
-0.818 0.000 6.662
Al Zn Ag
3 4 2
Cartesian
0.000 0.000 0.000
1.279 0.000 2.525
12.813 0.000 4.137
3.906 0.000 2.277
6.470 0.000 2.055
7.621 0.000 4.607
10.185 0.000 4.385
4.193 0.000 6.324
9.898 0.000 0.338
```

Summary:
symmetry	C2/m (12)
formation enthalpy at 0 K	0.0142	eV per atom
distance to the lowest polymorph of the same formula	0.0	meV/atom
calculated total energy	-2.433	eV per atom

(22)
Entry from the Alexandria database: Si2TcSbI after structural relaxation (PBE).

Structure (POSCAR):
```
Si2TcSbI
1.0
5.313 0.000 0.000
0.000 5.313 0.000
0.000 0.000 5.218
Si Tc Sb I
2 1 1 1
Cartesian
0.000 2.656 0.000
2.656 0.000 0.000
0.000 0.000 2.609
0.000 0.000 0.000
2.656 2.656 2.609
```

Summary:
raw formation energy	1.4121	eV per atom
symmetry	P4/mmm (123)
calculated total energy	-3.965	eV per atom

(23)
Entry from the Alexandria database: Ba2MgW after structural relaxation (PBE).

Structure (POSCAR):
```
Ba2MgW
1.0
3.335 0.000 0.000
0.000 3.335 0.000
0.000 0.000 11.141
Ba Mg W
2 1 1
Cartesian
0.000 0.000 2.490
0.000 0.000 8.651
1.668 1.668 5.570
1.668 1.668 0.000
```

Summary:
symmetry	P4/mmm (123)
formation enthalpy at 0 K	0.9832	eV per atom
calculated total energy	-3.615	eV per atom

(24)
Entry from the Alexandria database: Y5CSe4 after structural relaxation (PBE).

Structure (POSCAR):
```
Y5CSe4
1.0
-1.993 1.993 14.423
1.993 -1.993 14.423
1.993 1.993 -14.423
Y C Se
5 1 4
Cartesian
0.000 0.000 0.000
0.000 0.000 5.961
0.000 0.000 12.063
0.000 0.000 16.784
0.000 0.000 22.886
0.000 0.000 14.423
0.000 0.000 2.905
0.000 0.000 8.881
0.000 0.000 19.966
0.000 0.000 25.942
```

Summary:
raw formation energy	-1.4894	eV per atom
symmetry	I4/mmm (139)
distance to the lowest polymorph of the same formula	49.6	meV/atom
calculated total energy	-7.038	eV per atom

(25)
Entry from the Alexandria database: U2Fe2Sb after structural relaxation (PBE).

Structure (POSCAR):
```
U2Fe2Sb
1.0
3.735 0.000 0.000
0.000 14.463 0.000
0.000 0.000 3.466
U Fe Sb
4 4 2
Cartesian
0.000 2.105 0.000
0.000 12.359 0.000
1.867 5.127 0.000
1.867 9.336 0.000
0.000 4.606 1.733
0.000 9.857 1.733
1.867 2.626 1.733
1.867 11.837 1.733
0.000 7.232 1.733
1.867 0.000 1.733
```

Summary:
raw formation energy	-0.1717	eV per atom
symmetry	Cmmm (65)
calculated total energy	-8.896	eV per atom

(26)
Entry from the Alexandria database: LiTcP after structural relaxation (PBE).

Structure (POSCAR):
```
LiTcP
1.0
8.306 0.000 0.000
0.000 3.060 0.000
-0.738 0.000 6.434
Li Tc P
4 4 4
Cartesian
0.000 0.000 0.000
1.140 1.530 5.732
4.153 1.530 0.000
5.293 0.000 5.732
1.047 1.530 2.102
2.773 0.000 3.942
5.199 0.000 2.102
6.926 1.530 3.942
0.397 0.000 3.960
2.777 0.000 1.581
4.550 1.530 3.960
6.929 1.530 1.581
```

Summary:
symmetry	Cm (8)
formation enthalpy at 0 K	-0.4812	eV per atom
distance to the lowest polymorph of the same formula	55.8	meV/atom
calculated total energy	-6.378	eV per atom